SrHfSe2O: relaxed, PBE.

Summary:
Total energy: -6.8289 eV/atom

a b c (Å): 5.3566 5.3566 4.0234
angles (deg): 90.00 90.00 90.00
Fractional coordinates of all 5 atoms:
Sr  0.5000  0.5000  0.5000
Hf  0.0000  0.0000  0.0000
O  0.0000  0.0000  0.5000
Se  0.0000  0.5000  0.0000
Se  0.5000  0.0000  0.0000

Pu2Ni3Ge4Pt: relaxed, PBE.

Summary:
Total energy: -7.6059 eV/atom
ΔE_f: -535 kJ/mol of formula units

a b c (Å): 4.1453 4.1453 9.8572
angles (deg): 90.00 90.00 90.00
Fractional coordinates of all 10 atoms:
Pu  0.5000  0.0000  0.2435
Pu  0.0000  0.5000  0.7565
Ni  0.0000  0.0000  0.5000
Ni  0.5000  0.0000  0.8789
Ni  0.0000  0.5000  0.1211
Ge  0.5000  0.5000  0.0000
Ge  0.0000  0.0000  0.0000
Ge  0.5000  0.0000  0.6428
Ge  0.0000  0.5000  0.3572
Pt  0.5000  0.5000  0.5000

LiAc2In6Sn: relaxed, PBE.

Summary:
Total energy: -3.2783 eV/atom
ΔE_f: -214 kJ/mol of formula units

a b c (Å): 7.2466 7.2466 13.3814
angles (deg): 74.29 74.29 60.00
Fractional coordinates of all 20 atoms:
Li  0.0000  0.0000  0.0000
Li  0.5000  0.5000  0.5000
Ac  0.8936  0.8936  0.3191
Ac  0.1064  0.1064  0.6809
Ac  0.7188  0.7188  0.8437
Ac  0.2812  0.2812  0.1563
In  0.9230  0.3310  0.4149
In  0.3310  0.9230  0.4149
In  0.3310  0.3310  0.4149
In  0.0770  0.6690  0.5851
In  0.6690  0.0770  0.5851
In  0.6690  0.6690  0.5851
In  0.6602  0.2163  0.9071
In  0.2163  0.6602  0.9071
In  0.2163  0.2163  0.9071
In  0.3398  0.7837  0.0929
In  0.7837  0.3398  0.0929
In  0.7837  0.7837  0.0929
Sn  0.5736  0.5736  0.2792
Sn  0.4264  0.4264  0.7208

LaCe3B24: relaxed, PBE.

Summary:
Total energy: -7.0636 eV/atom
ΔE_f: -1427 kJ/mol of formula units

a b c (Å): 4.1268 5.8329 11.6744
angles (deg): 90.00 90.00 90.00
Fractional coordinates of all 28 atoms:
La  0.0000  0.0000  0.0000
Ce  0.0000  0.5000  0.2530
Ce  0.0000  0.0000  0.5000
Ce  0.0000  0.5000  0.7470
B  0.1985  0.5000  0.5000
B  0.1989  0.0000  0.7491
B  0.1993  0.5000  0.0000
B  0.1989  0.0000  0.2509
B  0.5000  0.6507  0.5752
B  0.5000  0.1511  0.8244
B  0.5000  0.6501  0.0756
B  0.5000  0.1507  0.3258
B  0.5000  0.3493  0.5752
B  0.5000  0.8489  0.8244
B  0.5000  0.3499  0.0756
B  0.5000  0.8493  0.3258
B  0.5000  0.3493  0.4248
B  0.5000  0.8493  0.6742
B  0.5000  0.3499  0.9244
B  0.5000  0.8489  0.1756
B  0.5000  0.6507  0.4248
B  0.5000  0.1507  0.6742
B  0.5000  0.6501  0.9244
B  0.5000  0.1511  0.1756
B  0.8015  0.5000  0.5000
B  0.8011  0.0000  0.7491
B  0.8007  0.5000  0.0000
B  0.8011  0.0000  0.2509

EuTmRh: relaxed, PBE.

Summary:
Total energy: -7.8168 eV/atom
ΔE to the lowest computed polymorph: 4.2 kJ per mole of atoms
ΔE_f: -131 kJ/mol of formula units

a b c (Å): 4.8492 4.8492 4.8492
angles (deg): 60.00 60.00 60.00
Fractional coordinates of all 3 atoms:
Eu  0.0000  0.0000  0.0000
Tm  0.5000  0.5000  0.5000
Rh  0.2500  0.2500  0.2500

Tl3H4S2Br3: relaxed, PBE.

Summary:
Total energy: -3.2247 eV/atom

a b c (Å): 5.2854 6.5776 11.4917
angles (deg): 106.63 103.29 90.00
Fractional coordinates of all 12 atoms:
Tl  0.7160  0.0000  0.0000
Tl  0.1985  0.6242  0.2484
Tl  0.9501  0.3758  0.7516
H  0.1897  0.8658  0.7316
H  0.2567  0.2005  0.4010
H  0.8557  0.7995  0.5990
H  0.4581  0.1342  0.2684
S  0.2021  0.1334  0.2669
S  0.9352  0.8666  0.7331
Br  0.6121  0.5000  0.0000
Br  0.3734  0.2966  0.5931
Br  0.7802  0.7034  0.4069

Ac3HoPb2: relaxed, PBE.

Summary:
Total energy: -4.2257 eV/atom
ΔE_f: -100 kJ/mol of formula units

a b c (Å): 7.5061 8.6516 9.6938
angles (deg): 116.50 112.78 90.00
Fractional coordinates of all 12 atoms:
Ac  0.5000  0.2500  0.0000
Ac  0.5000  0.7500  0.0000
Ac  0.7941  0.0441  0.5881
Ac  0.2059  0.4559  0.4119
Ac  0.2059  0.9559  0.4119
Ac  0.7941  0.5441  0.5881
Ho  0.0000  0.5000  0.0000
Ho  0.0000  0.0000  0.0000
Pb  0.5424  0.3600  0.7199
Pb  0.8225  0.1400  0.2801
Pb  0.1775  0.8600  0.7199
Pb  0.4576  0.6400  0.2801

ScGa4NiIr2: relaxed, PBE.

Summary:
Total energy: -5.7335 eV/atom
ΔE_f: -379 kJ/mol of formula units

a b c (Å): 4.3607 4.3607 7.6523
angles (deg): 73.45 73.45 60.00
Fractional coordinates of all 8 atoms:
Sc  0.0000  0.0000  0.0000
Ga  0.3852  0.3852  0.8445
Ga  0.8666  0.8666  0.4001
Ga  0.1334  0.1334  0.5999
Ga  0.6148  0.6148  0.1555
Ni  0.5000  0.5000  0.5000
Ir  0.7448  0.7448  0.7657
Ir  0.2552  0.2552  0.2343